## TbSmSc2S4 (PBE-GGA)

Data for an optimized crystal structure of TbSmSc2S4.

Its total energy is -53.933 eV/cell. The value obtained for the mass density is 5.5 g cm⁻³. As for the crystal system: monoclinic. As for the formation energy (no corrections): -15.4 eV per formula unit.

```
8
Lattice="6.615 0.000 0.000 0.000 3.791 0.000 -2.184 0.000 6.345" Properties=species:S:1:pos:R:3 pbc="T T T"
Tb 0.000 0.000 0.000
Sm 3.308 1.896 0.000
Sc -1.092 1.896 3.172
Sc 2.216 0.000 3.172
S -0.007 0.000 4.610
S 1.087 1.896 1.718
S 3.344 1.896 4.627
S 4.439 0.000 1.734
```